[1]
The following is a DFT calculation (PBE-GGA) of a relaxed HoTcB2 crystal.

* energy of formation from the pure elements: -41.8 kJ per mole of atoms
* distance to the lowest polymorph of the same formula: 0.62 eV per formula unit
* calculated volume: 12.982 A^3/atom
* symmetry: Pnma (62)
* total DFT energy (no corrections): -7.508 eV/atom

Cell lengths 3.3702, 6.0179, 10.2416 Å; angles 90.00, 90.00, 90.00 degrees
Fractional coordinates of all 16 atoms:
Tc (0.7500, 0.3727, 0.0625)
Tc (0.2500, 0.1273, 0.5625)
Tc (0.7500, 0.8727, 0.4375)
Tc (0.2500, 0.6273, 0.9375)
Ho (0.7500, 0.8880, 0.1387)
Ho (0.2500, 0.1120, 0.8613)
Ho (0.7500, 0.3880, 0.3613)
Ho (0.2500, 0.6120, 0.6387)
B (0.7500, 0.4677, 0.8249)
B (0.2500, 0.2298, 0.1884)
B (0.2500, 0.0323, 0.3249)
B (0.7500, 0.2702, 0.6884)
B (0.2500, 0.7298, 0.3116)
B (0.7500, 0.7702, 0.8116)
B (0.7500, 0.9677, 0.6751)
B (0.2500, 0.5323, 0.1751)



[2]
The following is a DFT calculation (PBE-GGA) of a relaxed Pa2BiSe2 crystal.

* ΔE_f (raw): -0.8223 eV per atom
* calculated volume: 31.417 A^3/atom
* symmetry: Immm (71)
* total DFT energy (no corrections): -6.791 eV/atom

Cell lengths 4.2900, 5.6730, 7.3694 Å; angles 112.64, 106.92, 90.00 degrees
Fractional coordinates of all 5 atoms:
Pa (0.6768, 0.1768, 0.3536)
Pa (0.3232, 0.8232, 0.6464)
Se (0.6703, 0.6703, 0.3407)
Se (0.3297, 0.3297, 0.6593)
Bi (0.0000, 0.0000, 0.0000)



[3]
The following is a DFT calculation (PBE-GGA) of a relaxed La2YSc crystal.

* energy of formation from the pure elements: 4.8 kJ per mole of atoms
* distance to the lowest polymorph of the same formula: 0.04 eV per formula unit
* calculated volume: 32.465 A^3/atom
* symmetry: I4/mmm (139)
* total DFT energy (no corrections): -5.613 eV/atom

Cell lengths 6.0454, 6.0454, 6.0454 Å; angles 129.02, 129.02, 74.97 degrees
Fractional coordinates of all 4 atoms:
La (0.5000, 0.5000, 0.0000)
La (0.0000, 0.0000, 0.0000)
Sc (0.2500, 0.7500, 0.5000)
Y (0.7500, 0.2500, 0.5000)



[4]
The following is a DFT calculation (PBE-GGA) of a relaxed Ga4I crystal.

* ΔE_f (raw): 0.7158 eV per atom
* calculated volume: 41.569 A^3/atom
* symmetry: Pm-3m (221)
* total DFT energy (no corrections): -2.016 eV/atom

Cell lengths 5.9235, 5.9235, 5.9235 Å; angles 90.00, 90.00, 90.00 degrees
Fractional coordinates of all 5 atoms:
Ga (0.5000, 0.0000, 0.5000)
Ga (0.5000, 0.5000, 0.0000)
Ga (0.0000, 0.5000, 0.5000)
Ga (0.0000, 0.0000, 0.0000)
I (0.5000, 0.5000, 0.5000)



[5]
The following is a DFT calculation (PBE-GGA) of a relaxed Ca4CuRu crystal.

* energy of formation from the pure elements: 94.2 kJ per mole of atoms
* calculated volume: 27.179 A^3/atom
* symmetry: F-43m (216)
* total DFT energy (no corrections): -2.587 eV/atom

Cell lengths 6.1324, 6.1324, 6.1324 Å; angles 60.00, 60.00, 60.00 degrees
Fractional coordinates of all 6 atoms:
Ru (0.0000, 0.0000, 0.0000)
Cu (0.7500, 0.7500, 0.7500)
Ca (0.8775, 0.3742, 0.3742)
Ca (0.3742, 0.8775, 0.3742)
Ca (0.3742, 0.3742, 0.8775)
Ca (0.3742, 0.3742, 0.3742)



[6]
The following is a DFT calculation (PBE-GGA) of a relaxed Er3Be2Si4 crystal.

* ΔE_f (raw): -0.6860 eV per atom
* calculated volume: 17.279 A^3/atom
* symmetry: C2/m (12)
* total DFT energy (no corrections): -5.445 eV/atom

Cell lengths 3.8764, 5.5683, 7.7869 Å; angles 98.68, 90.00, 110.37 degrees
Fractional coordinates of all 9 atoms:
Be (0.6090, 0.2180, 0.2812)
Be (0.3910, 0.7820, 0.7188)
Er (0.3348, 0.6697, 0.3336)
Er (0.0000, 0.0000, 0.0000)
Er (0.6652, 0.3303, 0.6664)
Si (0.7153, 0.4306, 0.0639)
Si (0.9390, 0.8780, 0.6161)
Si (0.0610, 0.1220, 0.3839)
Si (0.2847, 0.5694, 0.9361)



[7]
The following is a DFT calculation (PBE-GGA) of a relaxed Rb4Ce3MgS8 crystal.

* ΔE_f (raw): -1.6474 eV per atom
* calculated volume: 28.613 A^3/atom
* symmetry: R-3m (166)
* total DFT energy (no corrections): -5.165 eV/atom

Cell lengths 8.3123, 9.0309, 8.3124 Å; angles 117.40, 120.00, 90.00 degrees
Fractional coordinates of all 16 atoms:
Rb (0.0000, 0.0000, 0.5000)
Rb (0.5000, 0.0000, 0.0000)
Rb (0.0000, 0.0000, 0.0000)
Rb (0.5000, 0.0000, 0.5000)
Ce (0.5000, 0.5000, 0.0000)
Ce (0.0000, 0.5000, 0.5000)
Ce (0.5000, 0.5000, 0.5000)
S (0.7726, 0.3101, 0.5452)
S (0.7725, 0.3100, 0.0374)
S (0.2274, 0.6899, 0.4548)
S (0.2275, 0.6900, 0.9626)
S (0.7351, 0.6900, 0.9626)
S (0.2649, 0.3100, 0.0374)
S (0.2677, 0.3031, 0.5354)
S (0.7323, 0.6969, 0.4646)
Mg (0.0000, 0.5000, 0.0000)



[8]
The following is a DFT calculation (PBE-GGA) of a relaxed Be6CoNi5 crystal.

* energy of formation from the pure elements: -45.2 kJ per mole of atoms
* calculated volume: 8.833 A^3/atom
* symmetry: Cmmm (65)
* total DFT energy (no corrections): -5.332 eV/atom

Cell lengths 3.6802, 5.2252, 5.8111 Å; angles 90.00, 71.54, 90.00 degrees
Fractional coordinates of all 12 atoms:
Be (0.5000, 0.7550, 0.0000)
Be (0.1648, 0.7526, 0.6705)
Be (0.5000, 0.2450, 0.0000)
Be (0.8352, 0.2474, 0.3295)
Be (0.8352, 0.7526, 0.3295)
Be (0.1648, 0.2474, 0.6705)
Ni (0.3322, 0.0000, 0.3357)
Ni (0.0000, 0.5000, 0.0000)
Ni (0.6678, 0.0000, 0.6643)
Ni (0.6675, 0.5000, 0.6650)
Ni (0.3325, 0.5000, 0.3350)
Co (0.0000, 0.0000, 0.0000)



no.,mass density (g/cm³),N(E_F) (states/eV/cell),total magnetic moment (μB per cell)
1,9.10,5.43,0.00
2,8.76,7.95,2.27
3,5.26,6.02,0.00
4,3.24,3.64,0.00
5,3.31,5.10,0.00
6,6.75,2.97,0.00
7,3.78,12.75,2.01
8,6.37,2.67,0.00